Record 1
Na4Sb2Pb5: optimized geometry, PBE.

Output
**Size of the total moment**: 0.00 μB/cell
**E_form (uncorrected)**: -0.1224 eV/atom
**Density of states at the Fermi level**: 6.950 states/eV per cell

a = 3.3892 Å, b = 8.5635 Å, c = 11.1352 Å
α = 93.53°, β = 90.00°, γ = 90.00°
With the nearest neighbours (Å) after each atom.
Fractional coordinates of all 11 atoms:
Na: 0.5000 0.7249 0.5591  4 Sb 3.34-3.46, 2 Na 3.39, 6 Pb 3.47-3.59
Na: 0.5000 0.1695 0.8899  2 Sb 3.37, 2 Na 3.39, 8 Pb 3.46-3.61
Na: 0.5000 0.2751 0.4409  4 Sb 3.34-3.46, 2 Na 3.39, 6 Pb 3.47-3.59
Na: 0.5000 0.8305 0.1101  2 Sb 3.37, 2 Na 3.39, 8 Pb 3.46-3.61
Sb: 0.0000 0.0687 0.6358  3 Sb 3.18-3.39, 2 Pb 3.19-3.21, 6 Na 3.34-3.46
Sb: 0.0000 0.9313 0.3642  3 Sb 3.18-3.39, 2 Pb 3.19-3.21, 6 Na 3.34-3.46
Pb: 0.0000 0.5623 0.2956  1 Sb 3.21, 4 Pb 3.30-3.47, 2 Na 3.47
Pb: 0.0000 0.1836 0.1655  1 Sb 3.19, 4 Pb 3.37-3.47, 6 Na 3.49-3.55
Pb: 0.0000 0.5000 0.0000  6 Pb 3.30-3.39, 4 Na 3.46
Pb: 0.0000 0.8164 0.8345  1 Sb 3.19, 4 Pb 3.37-3.47, 6 Na 3.49-3.55
Pb: 0.0000 0.4377 0.7044  1 Sb 3.21, 4 Pb 3.30-3.47, 2 Na 3.47

---

Record 2
Na3SbPb: optimized geometry, PBE.

Output
**Size of the total moment**: 0.00 μB/cell
**ΔE to the lowest computed polymorph**: 0.266 eV per atom
**E_form (uncorrected)**: 0.1038 eV/atom
**Density of states at the Fermi level**: 4.793 states/eV per cell

a = 5.7834 Å, b = 5.7834 Å, c = 5.7834 Å
α = 90.00°, β = 90.00°, γ = 90.00°
With the nearest neighbours (Å) after each atom.
Fractional coordinates of all 5 atoms:
Pb: 0.5000 0.5000 0.5000  12 Na 4.09
Sb: 0.0000 0.0000 0.0000  6 Na 2.89
Na: 0.0000 0.5000 0.0000  2 Sb 2.89
Na: 0.0000 0.0000 0.5000  2 Sb 2.89
Na: 0.5000 0.0000 0.0000  2 Sb 2.89

---

Record 3
NaSb2Pb2: optimized geometry, PBE.

Output
**Size of the total moment**: 0.00 μB/cell
**E_form (uncorrected)**: -0.0393 eV/atom
**Density of states at the Fermi level**: 4.018 states/eV per cell

a = 8.1442 Å, b = 8.1442 Å, c = 8.1467 Å
α = 123.90°, β = 123.90°, γ = 83.60°
With the nearest neighbours (Å) after each atom.
Fractional coordinates of all 10 atoms:
Na: 0.1244 0.8756 0.2500  2 Sb 3.04
Na: 0.8756 0.1244 0.7500  2 Sb 3.04
Sb: 0.4044 0.5956 0.2500  1 Na 3.04, 4 Pb 3.06-3.15
Sb: 0.8444 0.1556 0.2500  1 Na 3.04, 4 Pb 3.06-3.15
Sb: 0.1556 0.8444 0.7500  1 Na 3.04, 4 Pb 3.06-3.15
Sb: 0.5956 0.4044 0.7500  1 Na 3.04, 4 Pb 3.06-3.15
Pb: 0.8016 0.5524 0.6043  4 Sb 3.06-3.15
Pb: 0.4476 0.1984 0.8957  4 Sb 3.06-3.15
Pb: 0.5524 0.8016 0.1043  4 Sb 3.06-3.15
Pb: 0.1984 0.4476 0.3957  4 Sb 3.06-3.15

---

Record 4
Na8Sb2Pb: optimized geometry, PBE.

Output
**Size of the total moment**: 0.00 μB/cell
**E_form (uncorrected)**: -0.3089 eV/atom
**Density of states at the Fermi level**: 2.222 states/eV per cell

a = 5.3086 Å, b = 8.9925 Å, c = 8.5281 Å
α = 121.86°, β = 108.13°, γ = 90.00°
With the nearest neighbours (Å) after each atom.
Fractional coordinates of all 11 atoms:
Na: 0.3408 0.5472 0.6815  3 Sb 3.20-3.30, 3 Na 3.23-3.42, 1 Pb 3.40
Na: 0.6602 0.8666 0.3204  3 Sb 3.20-3.30, 3 Na 3.24-3.42, 1 Pb 3.41
Na: 0.8562 0.8548 0.7124  4 Na 3.23-3.41, 2 Pb 3.29, 2 Sb 3.34
Na: 0.9992 0.3101 0.9985  2 Sb 3.25-3.26, 7 Na 3.40-3.42
Na: 0.1438 0.1452 0.2876  4 Na 3.23-3.41, 2 Pb 3.29, 2 Sb 3.34
Na: 0.3398 0.1334 0.6796  3 Sb 3.20-3.30, 3 Na 3.24-3.42, 1 Pb 3.41
Na: 0.6592 0.4528 0.3185  3 Sb 3.20-3.30, 3 Na 3.23-3.42, 1 Pb 3.40
Na: 0.0008 0.6899 0.0015  2 Sb 3.25-3.26, 7 Na 3.40-3.42
Sb: 0.7937 0.2943 0.5875  10 Na 3.20-3.34
Sb: 0.2063 0.7057 0.4125  10 Na 3.20-3.34
Pb: 0.5000 0.0000 0.0000  8 Na 3.29-3.41

---

Record 5
NaSbPb3: optimized geometry, PBE.

Output
**Size of the total moment**: 0.00 μB/cell
**ΔE to the lowest computed polymorph**: 0.598 eV per atom
**E_form (uncorrected)**: 0.5240 eV/atom
**Density of states at the Fermi level**: 3.110 states/eV per cell

a = 5.5227 Å, b = 5.5227 Å, c = 5.5227 Å
α = 90.00°, β = 90.00°, γ = 90.00°
With the nearest neighbours (Å) after each atom.
Fractional coordinates of all 5 atoms:
Pb: 0.0000 0.5000 0.0000  2 Na 2.76
Pb: 0.0000 0.0000 0.5000  2 Na 2.76
Pb: 0.5000 0.0000 0.0000  2 Na 2.76
Sb: 0.5000 0.5000 0.5000  12 Pb 3.91
Na: 0.0000 0.0000 0.0000  6 Pb 2.76

---

Record 6
NaSbPb3: optimized geometry, PBE.

Output
**Size of the total moment**: 0.00 μB/cell
**ΔE to the lowest computed polymorph**: 0.233 eV per atom
**E_form (uncorrected)**: 0.1593 eV/atom
**Density of states at the Fermi level**: 7.946 states/eV per cell

a = 5.9274 Å, b = 5.9274 Å, c = 12.1756 Å
α = 104.09°, β = 104.09°, γ = 90.00°
With the nearest neighbours (Å) after each atom.
Fractional coordinates of all 10 atoms:
Na: 0.5534 0.0534 0.1068  2 Sb 3.21
Na: 0.9466 0.4466 0.8932  2 Sb 3.21
Sb: 0.0000 0.0000 0.0000  4 Na 3.21, 4 Pb 3.21
Sb: 0.2500 0.7500 0.5000  8 Pb 3.23-3.38
Pb: 0.6253 0.8754 0.7508  2 Pb 2.96, 2 Sb 3.21-3.23
Pb: 0.1246 0.8745 0.2492  2 Pb 2.96, 2 Sb 3.21-3.23
Pb: 0.1246 0.3747 0.2492  2 Pb 2.96, 2 Sb 3.21-3.23
Pb: 0.1255 0.8754 0.7508  2 Pb 2.96, 2 Sb 3.21-3.23
Pb: 0.3215 0.3215 0.6430  2 Sb 3.38, 4 Pb 3.53
Pb: 0.6785 0.6785 0.3570  2 Sb 3.38, 4 Pb 3.53

---

Record 7
Na2Sb2Pb: optimized geometry, PBE.

Output
**Size of the total moment**: 0.00 μB/cell
**ΔE to the lowest computed polymorph**: 0.073 eV per atom
**E_form (uncorrected)**: -0.1685 eV/atom
**Density of states at the Fermi level**: 2.764 states/eV per cell

a = 9.0765 Å, b = 9.0765 Å, c = 3.4531 Å
α = 90.00°, β = 90.00°, γ = 90.00°
With the nearest neighbours (Å) after each atom.
Fractional coordinates of all 10 atoms:
Pb: 0.0000 0.0000 0.0000  2 Pb 3.45, 4 Sb 3.60, 8 Na 3.77
Pb: 0.5000 0.5000 0.0000  2 Pb 3.45, 4 Sb 3.60, 8 Na 3.77
Sb: 0.3779 0.8779 0.0000  3 Sb 3.13-3.45, 6 Na 3.14-3.22
Sb: 0.8779 0.6221 0.0000  3 Sb 3.13-3.45, 6 Na 3.14-3.22
Sb: 0.6221 0.1221 0.0000  3 Sb 3.13-3.45, 6 Na 3.14-3.22
Sb: 0.1221 0.3779 0.0000  3 Sb 3.13-3.45, 6 Na 3.14-3.22
Na: 0.1733 0.6733 0.5000  6 Sb 3.14-3.22, 2 Na 3.45
Na: 0.6733 0.8267 0.5000  6 Sb 3.14-3.22, 2 Na 3.45
Na: 0.8267 0.3267 0.5000  6 Sb 3.14-3.22, 2 Na 3.45
Na: 0.3267 0.1733 0.5000  6 Sb 3.14-3.22, 2 Na 3.45

---

Record 8
Na3SbPb: optimized geometry, PBE.

Output
**Size of the total moment**: 0.00 μB/cell
**ΔE to the lowest computed polymorph**: 0.000 eV per atom
**E_form (uncorrected)**: -0.1619 eV/atom
**Density of states at the Fermi level**: 2.699 states/eV per cell

a = 7.9172 Å, b = 7.9172 Å, c = 7.9172 Å
α = 95.19°, β = 103.79°, γ = 132.16°
With the nearest neighbours (Å) after each atom.
Fractional coordinates of all 10 atoms:
Na: 0.9827 0.2053 0.7253  4 Na 3.21-3.57, 2 Sb 3.22-3.23, 2 Pb 3.39-3.40
Na: 0.9827 0.7575 0.2774  4 Na 3.21-3.57, 2 Sb 3.22-3.23, 2 Pb 3.39-3.40
Na: 0.4801 0.7053 0.7226  4 Na 3.21-3.57, 2 Sb 3.22-3.23, 2 Pb 3.39-3.40
Na: 0.0153 0.2309 0.2844  1 Pb 3.26, 3 Sb 3.27-3.56, 4 Na 3.56-3.57
Na: 0.4801 0.2575 0.2747  4 Na 3.21-3.57, 2 Sb 3.22-3.23, 2 Pb 3.39-3.40
Na: 0.9465 0.7309 0.7156  1 Pb 3.26, 3 Sb 3.27-3.56, 4 Na 3.56-3.57
Sb: 0.5822 0.7311 0.3510  1 Pb 2.95, 6 Na 3.22-3.28
Sb: 0.3801 0.2311 0.6490  1 Pb 2.95, 6 Na 3.22-3.28
Pb: 0.6846 0.2335 0.9511  1 Sb 2.95, 1 Na 3.26
Pb: 0.2824 0.7335 0.0489  1 Sb 2.95, 1 Na 3.26

---

Record 9
Na2Sb2Pb: optimized geometry, PBE.

Output
**Size of the total moment**: 0.00 μB/cell
**ΔE to the lowest computed polymorph**: 0.163 eV per atom
**E_form (uncorrected)**: -0.0791 eV/atom
**Density of states at the Fermi level**: 1.827 states/eV per cell

a = 4.8326 Å, b = 4.8326 Å, c = 7.4480 Å
α = 71.07°, β = 71.07°, γ = 90.00°
With the nearest neighbours (Å) after each atom.
Fractional coordinates of all 5 atoms:
Pb: 0.0000 0.0000 0.0000  8 Sb 3.69, 8 Na 4.10
Sb: 0.3953 0.3953 0.2093  1 Sb 2.77, 4 Na 3.09
Sb: 0.6047 0.6047 0.7907  1 Sb 2.77, 4 Na 3.09
Na: 0.7500 0.2500 0.5000  4 Sb 3.09, 4 Na 3.42
Na: 0.2500 0.7500 0.5000  4 Sb 3.09, 4 Na 3.42

---

Record 10
NaSbPb4: optimized geometry, PBE.

Output
**Size of the total moment**: 0.00 μB/cell
**E_form (uncorrected)**: 0.1071 eV/atom
**Density of states at the Fermi level**: 3.011 states/eV per cell

a = 5.1680 Å, b = 5.1687 Å, c = 7.6147 Å
α = 89.94°, β = 89.97°, γ = 90.01°
With the nearest neighbours (Å) after each atom.
Fractional coordinates of all 6 atoms:
Na: 0.5013 0.4972 0.9981  8 Pb 3.20-3.21
Sb: 0.0013 0.9973 0.4982  8 Pb 3.21
Pb: 0.5017 0.9967 0.2472  2 Na 3.21, 2 Sb 3.21
Pb: 0.5010 0.9980 0.7490  2 Na 3.20-3.21, 2 Sb 3.21
Pb: 0.0017 0.4966 0.7488  2 Na 3.21, 2 Sb 3.21
Pb: 0.0009 0.4979 0.2475  2 Na 3.21, 2 Sb 3.21

---

Record 11
Na2Sb2Pb: optimized geometry, PBE.

Output
**Size of the total moment**: 0.00 μB/cell
**ΔE to the lowest computed polymorph**: 0.000 eV per atom
**E_form (uncorrected)**: -0.2418 eV/atom
**Density of states at the Fermi level**: 1.986 states/eV per cell

a = 5.1296 Å, b = 6.9345 Å, c = 10.0589 Å
α = 76.03°, β = 75.23°, γ = 68.29°
With the nearest neighbours (Å) after each atom.
Fractional coordinates of all 10 atoms:
Na: 0.3213 0.2760 0.0814  4 Sb 3.19-3.42
Na: 0.4822 0.3417 0.6938  4 Sb 3.30-3.41, 2 Pb 3.68
Na: 0.6787 0.7240 0.9186  4 Sb 3.19-3.42
Na: 0.5178 0.6583 0.3062  4 Sb 3.30-3.41, 2 Pb 3.68
Sb: 0.9506 0.1975 0.9012  1 Sb 2.93, 1 Pb 3.09, 2 Na 3.19
Sb: 0.1305 0.3228 0.4162  1 Sb 3.01, 3 Pb 3.10-3.23, 1 Na 3.32
Sb: 0.0494 0.8025 0.0988  1 Sb 2.93, 1 Pb 3.09, 2 Na 3.19
Sb: 0.8695 0.6772 0.5838  1 Sb 3.01, 3 Pb 3.10-3.23, 1 Na 3.32
Pb: 0.8010 0.0557 0.3424  4 Sb 3.09-3.23
Pb: 0.1990 0.9443 0.6576  4 Sb 3.09-3.23

---

Record 12
Na4Sb3PbSe8: optimized geometry, PBE.

Output
**Size of the total moment**: 0.00 μB/cell
**E_form (uncorrected)**: -0.6377 eV/atom
**Density of states at the Fermi level**: 7.689 states/eV per cell

a = 8.2988 Å, b = 8.6136 Å, c = 8.2998 Å
α = 118.84°, β = 120.00°, γ = 90.00°
With the nearest neighbours (Å) after each atom.
Fractional coordinates of all 16 atoms:
Na: 0.5000 0.0000 0.0000  6 Se 2.98
Na: 0.5000 0.0000 0.5000  6 Se 3.07-3.08
Na: 0.0000 0.0000 0.0000  6 Se 3.07-3.08
Na: 0.0000 0.0000 0.5000  6 Se 3.07-3.08
Sb: 0.5000 0.5000 0.0000  6 Se 2.90-2.91
Sb: 0.5000 0.5000 0.5000  6 Se 2.90-2.91
Sb: 0.0000 0.5000 0.5000  6 Se 2.90-2.91
Pb: 0.0000 0.5000 0.0000  6 Se 3.01
Se: 0.2517 0.7370 0.9856  2 Sb 2.90, 3 Na 2.98-3.08, 1 Pb 3.01
Se: 0.2517 0.7370 0.5034  2 Sb 2.90, 3 Na 2.98-3.08, 1 Pb 3.01
Se: 0.2560 0.2684 0.5121  3 Sb 2.91, 3 Na 3.07
Se: 0.7338 0.7370 0.9856  2 Sb 2.90, 3 Na 2.98-3.08, 1 Pb 3.01
Se: 0.2662 0.2630 0.0144  2 Sb 2.90, 3 Na 2.98-3.08, 1 Pb 3.01
Se: 0.7440 0.7316 0.4879  3 Sb 2.91, 3 Na 3.07
Se: 0.7483 0.2630 0.4966  2 Sb 2.90, 3 Na 2.98-3.08, 1 Pb 3.01
Se: 0.7483 0.2630 0.0144  2 Sb 2.90, 3 Na 2.98-3.08, 1 Pb 3.01